This record from Alexandria describes a geometry-optimized Nd2DyTc structure. The functional is PBE.

Calculated values
- Energy relative to the lowest polymorph listed for this composition: 289 meV/atom
- Energy relative to the elements: 0.282 eV per atom
- DFT total energy: -23.37 eV per formula unit

abc: 4.9376 4.9376 15.1711
angles: 90.00 90.00 120.00
Last column: nearest neighbours and their distance in Å.
Space group R-3m (No. 166, hexagonal axes)
Unique sites:
1 Nd 0.0000 0.0000 0.2326 [6 per cell]  3 Tc 3.02, 3 Dy 3.23
2 Dy 0.0000 0.0000 0.0000 [3 per cell]  8 Nd 3.23-3.53
3 Tc 0.0000 0.0000 0.5000 [3 per cell]  6 Nd 3.02

This record from Alexandria describes a geometry-optimized Mg2HgGe2 structure. The functional is PBE.

Calculated values
- Energy relative to the lowest polymorph listed for this composition: 10 meV/atom
- Energy relative to the elements: -0.032 eV per atom
- DFT total energy: -12.88 eV per formula unit

abc: 3.8026 3.8026 14.9587
angles: 90.00 90.00 90.00
Last column: nearest neighbours and their distance in Å.
Space group I4/mmm (No. 139)
Unique sites:
1 Mg 0.0000 0.0000 0.1041 [4 per cell]  4 Ge 2.89, 4 Hg 3.11, 1 Mg 3.11
2 Hg 0.0000 0.0000 0.5000 [2 per cell]  8 Mg 3.11
3 Ge 0.0000 0.5000 0.2500 [4 per cell]  4 Ge 2.69, 4 Mg 2.89

This record from Alexandria describes a geometry-optimized YHf3 structure. The functional is PBE.

Calculated values
- Energy relative to the lowest polymorph listed for this composition: 97 meV/atom
- Energy relative to the elements: 0.191 eV per atom
- DFT total energy: -35.56 eV per formula unit

abc: 4.6002 4.6002 9.1096
angles: 90.00 90.00 90.00
Last column: nearest neighbours and their distance in Å.
Space group I4/mmm (No. 139)
Unique sites:
1 Y 0.0000 0.0000 0.0000 [2 per cell]  12 Hf 3.24-3.25
2 Hf 0.0000 0.0000 0.5000 [2 per cell]  8 Hf 3.24, 4 Y 3.25
3 Hf 0.0000 0.5000 0.2500 [4 per cell]  8 Hf 3.24-3.25, 4 Y 3.24

This record from Alexandria describes a geometry-optimized Ni3S2 structure. The functional is PBE.

Calculated values
- Formation energy without anion corrections: -0.2331 eV per atom
- DFT total energy: -26.76 eV per formula unit

abc: 5.7818 5.7818 13.6256
angles: 90.00 90.00 120.00
Last column: nearest neighbours and their distance in Å.
Space group R-3c (No. 167, hexagonal axes)
Unique sites:
1 Ni 0.0000 0.2521 0.2500 [18 per cell]  4 S 2.26-2.28, 2 Ni 2.52
2 S 0.0000 0.0000 0.1209 [12 per cell]  6 Ni 2.26-2.28